5
Lattice="5.332 0.000 0.000 0.000 5.332 0.000 0.000 0.000 5.332" Properties=species:S:1:pos:R:3 comment="PBE PuCl4, optimized geometry" magnetic_moment_mub_per_fu=5.195 space_group="No. 221" vol_a3_per_cell=152 e_form_raw_mev_per_atom=-1281 pbc="T T T"
Cl 0.000 2.666 2.666
Pu 2.666 2.666 2.666
Cl 2.666 2.666 0.000
Cl 0.000 0.000 0.000
Cl 2.666 0.000 2.666